# 1
This record from Alexandria via LeMat-Bulk describes Li3Sn4Se8 after structural relaxation. The functional is PBE.

Calculated values
magnetic moment: 0.00 μB per formula unit
ΔE_f (raw): -0.61 eV/atom

Unit cell a=8.008 b=8.008 c=7.920 alpha=119.41 beta=119.41 gamma=90.87
Fractional positions:
Li 0.000 0.000 0.000
Li 0.000 0.500 0.000
Li 0.500 0.000 0.000
Sn 0.000 0.500 0.500
Sn 0.500 0.000 0.500
Sn 0.500 0.500 0.000
Sn 0.500 0.500 0.500
Se 0.245 0.245 0.491
Se 0.250 0.750 0.000
Se 0.257 0.743 0.500
Se 0.264 0.264 0.024
Se 0.736 0.736 0.976
Se 0.743 0.257 0.500
Se 0.750 0.250 0.000
Se 0.755 0.755 0.509



# 2
This record from Alexandria via LeMat-Bulk describes LiSn3Se4 after structural relaxation. The functional is PBE.

Calculated values
magnetic moment: 0.00 μB per formula unit
ΔE_f (raw): -0.57 eV/atom

Unit cell a=5.878 b=5.878 c=11.735 alpha=90.00 beta=90.00 gamma=90.00
Fractional positions:
Li 0.000 0.000 0.000
Li 0.500 0.500 0.500
Sn 0.000 0.000 0.500
Sn 0.000 0.500 0.250
Sn 0.000 0.500 0.750
Sn 0.500 0.000 0.250
Sn 0.500 0.000 0.750
Sn 0.500 0.500 0.000
Se 0.000 0.000 0.246
Se 0.000 0.000 0.754
Se 0.000 0.500 0.000
Se 0.000 0.500 0.500
Se 0.500 0.000 0.000
Se 0.500 0.000 0.500
Se 0.500 0.500 0.254
Se 0.500 0.500 0.746



# 3
This record from Alexandria via LeMat-Bulk describes LiSn2Se4 after structural relaxation. The functional is PBE.

Calculated values
magnetic moment: 0.00 μB per formula unit
energy relative to the lowest polymorph listed for this composition: 29.0 kJ/mol of formula units
ΔE_f (raw): -0.50 eV/atom

Unit cell a=6.852 b=6.852 c=13.413 alpha=90.00 beta=90.00 gamma=146.10
Fractional positions:
Li 0.078 0.922 0.750
Li 0.922 0.078 0.250
Sn 0.361 0.639 0.572
Sn 0.361 0.639 0.928
Sn 0.639 0.361 0.072
Sn 0.639 0.361 0.428
Se 0.000 0.000 0.000
Se 0.000 0.000 0.500
Se 0.276 0.724 0.121
Se 0.276 0.724 0.379
Se 0.457 0.543 0.750
Se 0.543 0.457 0.250
Se 0.724 0.276 0.621
Se 0.724 0.276 0.879



# 4
This record from Alexandria via LeMat-Bulk describes Li8SnSe6 after structural relaxation. The functional is PBE.

Calculated values
magnetic moment: 0.00 μB per formula unit
ΔE_f (raw): -1.03 eV/atom

Unit cell a=7.554 b=7.838 c=11.068 alpha=90.00 beta=90.00 gamma=90.00
Fractional positions:
Li 0.000 0.128 0.000
Li 0.000 0.243 0.442
Li 0.209 0.580 0.787
Li 0.215 0.735 0.109
Li 0.219 0.943 0.780
Li 0.281 0.057 0.280
Li 0.285 0.265 0.609
Li 0.291 0.420 0.287
Li 0.500 0.757 0.942
Li 0.500 0.872 0.500
Li 0.709 0.420 0.287
Li 0.715 0.265 0.609
Li 0.719 0.057 0.280
Li 0.781 0.943 0.780
Li 0.785 0.735 0.109
Li 0.791 0.580 0.787
Sn 0.000 0.748 0.468
Sn 0.500 0.252 0.968
Se 0.000 0.016 0.601
Se 0.000 0.242 0.225
Se 0.000 0.481 0.602
Se 0.000 0.781 0.932
Se 0.226 0.259 0.840
Se 0.274 0.741 0.340
Se 0.500 0.219 0.432
Se 0.500 0.519 0.102
Se 0.500 0.758 0.725
Se 0.500 0.984 0.101
Se 0.726 0.741 0.340
Se 0.774 0.259 0.840



# 5
This record from Alexandria via LeMat-Bulk describes LiSnSe2 after structural relaxation. The functional is PBE.

Calculated values
magnetic moment: 0.00 μB per formula unit
ΔE_f (raw): -0.65 eV/atom

Unit cell a=3.941 b=3.941 c=20.911 alpha=90.00 beta=90.00 gamma=120.00
Fractional positions:
Li 0.000 0.000 0.000
Li 0.333 0.667 0.667
Li 0.667 0.333 0.333
Sn 0.000 0.000 0.170
Sn 0.333 0.667 0.836
Sn 0.667 0.333 0.503
Se 0.000 0.000 0.587
Se 0.000 0.000 0.753
Se 0.333 0.667 0.253
Se 0.333 0.667 0.420
Se 0.667 0.333 0.086
Se 0.667 0.333 0.920



# 6
This record from Alexandria via LeMat-Bulk describes Li2Sn5Se6 after structural relaxation. The functional is PBE.

Calculated values
magnetic moment: 0.00 μB per formula unit
ΔE_f (raw): -0.51 eV/atom

Unit cell a=7.472 b=7.472 c=15.989 alpha=100.31 beta=100.31 gamma=64.17
Fractional positions:
Li 0.112 0.376 0.435
Li 0.376 0.112 0.935
Li 0.624 0.888 0.065
Li 0.888 0.624 0.565
Sn 0.097 0.162 0.705
Sn 0.162 0.097 0.205
Sn 0.279 0.605 0.037
Sn 0.395 0.721 0.463
Sn 0.401 0.599 0.750
Sn 0.599 0.401 0.250
Sn 0.605 0.279 0.537
Sn 0.721 0.395 0.963
Sn 0.838 0.903 0.795
Sn 0.903 0.838 0.295
Se 0.035 0.148 0.874
Se 0.148 0.035 0.374
Se 0.255 0.370 0.596
Se 0.258 0.494 0.328
Se 0.370 0.255 0.096
Se 0.494 0.258 0.828
Se 0.506 0.742 0.172
Se 0.630 0.745 0.904
Se 0.742 0.506 0.672
Se 0.745 0.630 0.404
Se 0.852 0.965 0.626
Se 0.965 0.852 0.126



# 7
This record from Alexandria via LeMat-Bulk describes LiSn2Se after structural relaxation. The functional is PBE.

Calculated values
magnetic moment: 0.00 μB per formula unit
ΔE_f (raw): -0.19 eV/atom

Unit cell a=8.187 b=8.187 c=6.084 alpha=90.00 beta=90.00 gamma=90.00
Fractional positions:
Li 0.000 0.000 0.000
Li 0.000 0.500 0.250
Li 0.500 0.000 0.750
Li 0.500 0.500 0.500
Sn 0.236 0.750 0.625
Sn 0.250 0.236 0.375
Sn 0.250 0.264 0.875
Sn 0.264 0.750 0.125
Sn 0.736 0.250 0.125
Sn 0.750 0.736 0.875
Sn 0.750 0.764 0.375
Sn 0.764 0.250 0.625
Se 0.000 0.000 0.500
Se 0.000 0.500 0.750
Se 0.500 0.000 0.250
Se 0.500 0.500 0.000



# 8
This record from Alexandria via LeMat-Bulk describes LiSnSe2 after structural relaxation. The functional is PBE.

Calculated values
magnetic moment: 0.00 μB per formula unit
ΔE_f (raw): -0.70 eV/atom

Unit cell a=7.999 b=8.002 c=6.955 alpha=90.00 beta=125.08 gamma=90.00
Fractional positions:
Li 0.000 0.126 0.250
Li 0.000 0.874 0.750
Li 0.500 0.374 0.750
Li 0.500 0.626 0.250
Sn 0.000 0.375 0.750
Sn 0.000 0.625 0.250
Sn 0.500 0.125 0.250
Sn 0.500 0.875 0.750
Se 0.250 0.125 0.750
Se 0.250 0.375 0.250
Se 0.250 0.625 0.750
Se 0.250 0.875 0.250
Se 0.750 0.125 0.750
Se 0.750 0.375 0.250
Se 0.750 0.625 0.750
Se 0.750 0.875 0.250



# 9
This record from Alexandria via LeMat-Bulk describes LiSn4Se8 after structural relaxation. The functional is PBE.

Calculated values
magnetic moment: 0.00 μB per formula unit
ΔE_f (raw): -0.46 eV/atom

Unit cell a=8.110 b=8.110 c=8.110 alpha=57.68 beta=57.68 gamma=57.68
Fractional positions:
Li 0.000 0.000 0.000
Sn 0.000 0.000 0.500
Sn 0.000 0.500 0.000
Sn 0.500 0.000 0.000
Sn 0.500 0.500 0.500
Se 0.237 0.751 0.751
Se 0.245 0.245 0.245
Se 0.249 0.249 0.763
Se 0.249 0.763 0.249
Se 0.751 0.237 0.751
Se 0.751 0.751 0.237
Se 0.755 0.755 0.755
Se 0.763 0.249 0.249



# 10
This record from Alexandria via LeMat-Bulk describes Li4SnSe2 after structural relaxation. The functional is PBE.

Calculated values
magnetic moment: 0.00 μB per formula unit
ΔE_f (raw): -0.26 eV/atom

Unit cell a=4.868 b=4.868 c=13.992 alpha=90.00 beta=90.00 gamma=90.00
Fractional positions:
Li 0.000 0.000 0.202
Li 0.000 0.000 0.798
Li 0.000 0.500 0.000
Li 0.000 0.500 0.500
Li 0.500 0.000 0.000
Li 0.500 0.000 0.500
Li 0.500 0.500 0.298
Li 0.500 0.500 0.702
Sn 0.000 0.000 0.000
Sn 0.500 0.500 0.500
Se 0.000 0.000 0.380
Se 0.000 0.000 0.620
Se 0.500 0.500 0.120
Se 0.500 0.500 0.880



# 11
This record from Alexandria via LeMat-Bulk describes Li3SnSe after structural relaxation. The functional is PBE.

Calculated values
magnetic moment: 0.00 μB per formula unit
energy relative to the lowest polymorph listed for this composition: 0.0 kJ/mol of formula units
ΔE_f (raw): -0.51 eV/atom

Unit cell a=4.806 b=4.806 c=4.806 alpha=90.00 beta=90.00 gamma=90.00
Fractional positions:
Li 0.000 0.000 0.500
Li 0.000 0.500 0.000
Li 0.500 0.000 0.000
Sn 0.500 0.500 0.500
Se 0.000 0.000 0.000



# 12
This record from Alexandria via LeMat-Bulk describes LiSn4Se5 after structural relaxation. The functional is PBE.

Calculated values
magnetic moment: 0.00 μB per formula unit
ΔE_f (raw): -0.54 eV/atom

Unit cell a=7.251 b=7.251 c=7.251 alpha=99.53 beta=99.53 gamma=131.97
Fractional positions:
Li 0.000 0.000 0.000
Sn 0.205 0.406 0.607
Sn 0.406 0.799 0.201
Sn 0.597 0.205 0.799
Sn 0.799 0.597 0.393
Se 0.098 0.706 0.801
Se 0.297 0.098 0.392
Se 0.502 0.502 0.000
Se 0.706 0.905 0.608
Se 0.905 0.297 0.199



# 13
This record from Alexandria via LeMat-Bulk describes Li2Sn3Se6 after structural relaxation. The functional is PBE.

Calculated values
magnetic moment: 0.00 μB per formula unit
ΔE_f (raw): -0.59 eV/atom

Unit cell a=6.848 b=6.848 c=6.914 alpha=99.56 beta=99.56 gamma=119.77
Fractional positions:
Li 0.167 0.833 0.000
Li 0.833 0.167 0.000
Sn 0.000 0.000 0.500
Sn 0.331 0.669 0.500
Sn 0.669 0.331 0.500
Se 0.081 0.417 0.755
Se 0.241 0.241 0.246
Se 0.417 0.081 0.755
Se 0.583 0.919 0.245
Se 0.759 0.759 0.754
Se 0.919 0.583 0.245



# 14
This record from Alexandria via LeMat-Bulk describes Li5SnSe6 after structural relaxation. The functional is PBE.

Calculated values
magnetic moment: 0.00 μB per formula unit
ΔE_f (raw): -0.75 eV/atom

Unit cell a=5.907 b=5.907 c=7.147 alpha=97.89 beta=97.89 gamma=104.76
Fractional positions:
Li 0.000 0.000 0.000
Li 0.157 0.843 0.500
Li 0.340 0.660 0.000
Li 0.660 0.340 0.000
Li 0.843 0.157 0.500
Sn 0.500 0.500 0.500
Se 0.083 0.451 0.253
Se 0.245 0.245 0.750
Se 0.451 0.083 0.253
Se 0.549 0.917 0.747
Se 0.755 0.755 0.250
Se 0.917 0.549 0.747



# 15
This record from Alexandria via LeMat-Bulk describes LiSn2Se2 after structural relaxation. The functional is PBE.

Calculated values
magnetic moment: 0.00 μB per formula unit
energy relative to the lowest polymorph listed for this composition: 0.0 kJ/mol of formula units
ΔE_f (raw): -0.42 eV/atom

Unit cell a=7.537 b=7.537 c=4.413 alpha=90.00 beta=90.00 gamma=90.00
Fractional positions:
Li 0.000 0.000 0.000
Li 0.500 0.500 0.000
Sn 0.150 0.350 0.500
Sn 0.350 0.850 0.500
Sn 0.650 0.150 0.500
Sn 0.850 0.650 0.500
Se 0.183 0.683 0.000
Se 0.317 0.183 0.000
Se 0.683 0.817 0.000
Se 0.817 0.317 0.000



# 16
This record from Alexandria via LeMat-Bulk describes LiTb2SnSe4 after structural relaxation. The functional is PBE.

Calculated values
magnetic moment: 0.00 μB per formula unit
ΔE_f (raw): -1.34 eV/atom

Unit cell a=8.293 b=8.293 c=8.293 alpha=119.90 beta=119.76 gamma=90.30
Fractional positions:
Li 0.000 0.000 0.000
Li 0.500 0.000 0.500
Tb 0.000 0.500 0.500
Tb 0.500 0.000 0.000
Tb 0.500 0.500 0.000
Tb 0.500 0.500 0.500
Sn 0.000 0.000 0.500
Sn 0.000 0.500 0.000
Se 0.254 0.254 0.500
Se 0.254 0.754 0.000
Se 0.255 0.247 0.008
Se 0.261 0.753 0.508
Se 0.739 0.247 0.492
Se 0.745 0.753 0.992
Se 0.746 0.246 0.000
Se 0.746 0.746 0.500



# 17
This record from Alexandria via LeMat-Bulk describes LiTbSnSe3 after structural relaxation. The functional is PBE.

Calculated values
magnetic moment: 0.00 μB per formula unit
ΔE_f (raw): -1.18 eV/atom

Unit cell a=8.780 b=3.964 c=9.090 alpha=90.00 beta=97.91 gamma=90.00
Fractional positions:
Li 0.097 0.250 0.086
Li 0.903 0.750 0.914
Tb 0.158 0.250 0.713
Tb 0.842 0.750 0.287
Sn 0.346 0.750 0.331
Sn 0.654 0.250 0.669
Se 0.097 0.250 0.375
Se 0.197 0.750 0.953
Se 0.387 0.750 0.638
Se 0.613 0.250 0.362
Se 0.803 0.250 0.047
Se 0.903 0.750 0.625



# 18
This record from Alexandria via LeMat-Bulk describes Li2TbSnSe4 after structural relaxation. The functional is PBE.

Calculated values
magnetic moment: 0.00 μB per formula unit
ΔE_f (raw): -1.18 eV/atom

Unit cell a=6.909 b=4.032 c=7.086 alpha=90.00 beta=110.07 gamma=90.00
Fractional positions:
Li 0.000 0.000 0.000
Li 0.000 0.500 0.500
Tb 0.500 0.000 0.500
Sn 0.500 0.500 0.000
Se 0.241 0.000 0.746
Se 0.245 0.500 0.245
Se 0.755 0.500 0.755
Se 0.759 0.000 0.254



# 19
This record from Alexandria via LeMat-Bulk describes LiSn2TeSe3 after structural relaxation. The functional is PBE.

Calculated values
magnetic moment: 0.00 μB per formula unit
ΔE_f (raw): -0.48 eV/atom

Unit cell a=8.192 b=8.192 c=8.192 alpha=60.09 beta=60.09 gamma=60.09
Fractional positions:
Li 0.103 0.103 0.103
Li 0.897 0.897 0.897
Sn 0.000 0.500 0.500
Sn 0.500 0.000 0.500
Sn 0.500 0.500 0.000
Sn 0.500 0.500 0.500
Te 0.244 0.244 0.244
Te 0.756 0.756 0.756
Se 0.254 0.254 0.728
Se 0.254 0.728 0.254
Se 0.272 0.746 0.746
Se 0.728 0.254 0.254
Se 0.746 0.272 0.746
Se 0.746 0.746 0.272



# 20
This record from Alexandria via LeMat-Bulk describes LiThSn2Se4 after structural relaxation. The functional is PBE.

Calculated values
magnetic moment: 0.00 μB per formula unit
ΔE_f (raw): -0.88 eV/atom

Unit cell a=7.153 b=4.191 c=7.547 alpha=90.00 beta=108.09 gamma=90.00
Fractional positions:
Li 0.000 0.000 0.000
Th 0.500 0.500 0.000
Sn 0.000 0.500 0.500
Sn 0.500 0.000 0.500
Se 0.246 0.500 0.235
Se 0.248 0.000 0.762
Se 0.752 0.000 0.238
Se 0.754 0.500 0.765